Here is a relaxed structure of UNiSb2N from Alexandria. Energies are from PBE. Values from VASP.

Properties
- formation energy from raw total energies (eV per atom) = -0.588

```
&SYSTEM
  ibrav = 0, nat = 10, ntyp = 4
/
ATOMIC_SPECIES
U 238.03 U.upf
Ni 58.69 Ni.upf
Sb 121.76 Sb.upf
N 14.01 N.upf
CELL_PARAMETERS angstrom
3.7653 0.0000 0.0000
0.0000 3.7653 0.0000
0.0000 0.0000 14.1598
ATOMIC_POSITIONS crystal
U 0.2500 0.2500 0.0839
U 0.7500 0.7500 0.9161
Ni 0.2500 0.2500 0.6053
Ni 0.7500 0.7500 0.3947
Sb 0.2500 0.2500 0.4225
Sb 0.2500 0.2500 0.7839
Sb 0.7500 0.7500 0.2161
Sb 0.7500 0.7500 0.5775
N 0.2500 0.7500 0.0000
N 0.7500 0.2500 0.0000
```

Here is a relaxed structure of Nd2Sm3Y2 from Alexandria. Energies are from PBE. Values from VASP.

Properties
- E above lowest polymorph (eV per atom) = 0.000
- E_form (eV/atom) = 0.01

```
&SYSTEM
  ibrav = 0, nat = 7, ntyp = 3
/
ATOMIC_SPECIES
Nd 144.24 Nd.upf
Sm 150.36 Sm.upf
Y 88.91 Y.upf
CELL_PARAMETERS angstrom
3.6313 0.0000 0.0000
-1.8028 5.9972 0.0000
-0.0122 -1.0937 10.8356
ATOMIC_POSITIONS crystal
Nd 0.2154 0.4297 0.3565
Nd 0.7846 0.5703 0.6435
Sm 0.3560 0.7139 0.9292
Sm 0.5000 0.0000 0.5000
Sm 0.6440 0.2861 0.0708
Y 0.0709 0.1411 0.7875
Y 0.9291 0.8589 0.2125
```

| no. | magnetization (μB per atom) | ρ (g/cm3) |
| --- | --- | --- |
| 1 | 0.20 | 9.2 |
| 2 | 0.00 | 6.5 |